No. 1
# PrTmCdRh, relaxed, DFT PBE-GGA
# calculated formation energy = -465.6 meV/atom
# volume = 23.872 Å³ per atom
# space-group type = F-43m (216)
# electronic total energy = -4.845 eV per atom
data_PrTmCdRh
_chemical_formula_sum 'Pr1 Tm1 Cd1 Rh1'
_space_group_name_H-M_alt 'P 1'
_space_group_IT_number 1
_cell_length_a 5.130
_cell_length_b 5.130
_cell_length_c 5.130
_cell_angle_alpha 60.00
_cell_angle_beta 60.00
_cell_angle_gamma 60.00
loop_
_space_group_symop_operation_xyz
'x,y,z'
loop_
_atom_site_label
_atom_site_type_symbol
_atom_site_fract_x
_atom_site_fract_y
_atom_site_fract_z
Pr1 Pr 0.000 0.000 0.000
Tm1 Tm 0.500 0.500 0.500
Cd1 Cd 0.750 0.750 0.750
Rh1 Rh 0.250 0.250 0.250

***

No. 2
# CeTmIn, relaxed, DFT PBE-GGA
# calculated formation energy = -266.7 meV/atom
# volume = 26.638 Å³ per atom
# space-group type = C2/m (12)
# electronic total energy = -4.648 eV per atom
data_CeTmIn
_chemical_formula_sum 'Ce2 Tm2 In2'
_space_group_name_H-M_alt 'P 1'
_space_group_IT_number 1
_cell_length_a 5.748
_cell_length_b 5.748
_cell_length_c 8.777
_cell_angle_alpha 109.46
_cell_angle_beta 109.46
_cell_angle_gamma 36.04
loop_
_space_group_symop_operation_xyz
'x,y,z'
loop_
_atom_site_label
_atom_site_type_symbol
_atom_site_fract_x
_atom_site_fract_y
_atom_site_fract_z
Ce1 Ce 0.179 0.179 0.056
Ce2 Ce 0.821 0.821 0.944
Tm1 Tm 0.161 0.161 0.594
Tm2 Tm 0.839 0.839 0.406
In1 In 0.477 0.477 0.740
In2 In 0.523 0.523 0.260

***

No. 3
# Pr2Tm2Hg3, relaxed, DFT PBE-GGA
# calculated formation energy = -316.3 meV/atom
# volume = 29.019 Å³ per atom
# space-group type = R-3m (166)
# electronic total energy = -3.089 eV per atom
data_Pr2Tm2Hg3
_chemical_formula_sum 'Pr2 Tm2 Hg3'
_space_group_name_H-M_alt 'P 1'
_space_group_IT_number 1
_cell_length_a 9.193
_cell_length_b 9.193
_cell_length_c 9.193
_cell_angle_alpha 32.83
_cell_angle_beta 32.83
_cell_angle_gamma 32.83
loop_
_space_group_symop_operation_xyz
'x,y,z'
loop_
_atom_site_label
_atom_site_type_symbol
_atom_site_fract_x
_atom_site_fract_y
_atom_site_fract_z
Pr1 Pr 0.127 0.127 0.127
Pr2 Pr 0.873 0.873 0.873
Tm1 Tm 0.376 0.376 0.376
Tm2 Tm 0.624 0.624 0.624
Hg1 Hg 0.000 0.000 0.000
Hg2 Hg 0.254 0.254 0.254
Hg3 Hg 0.746 0.746 0.746

***

No. 4
# AcNd2O, relaxed, DFT PBE-GGA
# volume = 25.862 Å³ per atom
# formation energy from raw total energies = -707 meV per atom
# space-group type = P4/mmm (123)
# electronic total energy = -5.357 eV per atom
data_AcNd2O
_chemical_formula_sum 'Ac1 Nd2 O1'
_space_group_name_H-M_alt 'P 1'
_space_group_IT_number 1
_cell_length_a 3.397
_cell_length_b 3.397
_cell_length_c 8.967
_cell_angle_alpha 90.00
_cell_angle_beta 90.00
_cell_angle_gamma 90.00
loop_
_space_group_symop_operation_xyz
'x,y,z'
loop_
_atom_site_label
_atom_site_type_symbol
_atom_site_fract_x
_atom_site_fract_y
_atom_site_fract_z
Ac1 Ac 0.000 0.000 0.000
Nd1 Nd 0.500 0.500 0.327
Nd2 Nd 0.500 0.500 0.673
O1 O 0.000 0.000 0.500

***

No. 5
# Pa3Ni2Ge3, relaxed, DFT PBE-GGA
# calculated formation energy = -559.2 meV/atom
# volume = 19.052 Å³ per atom
# space-group type = Pnma (62)
# electronic total energy = -7.297 eV per atom
data_Pa3Ni2Ge3
_chemical_formula_sum 'Pa12 Ni8 Ge12'
_space_group_name_H-M_alt 'P 1'
_space_group_IT_number 1
_cell_length_a 7.624
_cell_length_b 14.153
_cell_length_c 5.650
_cell_angle_alpha 90.00
_cell_angle_beta 90.00
_cell_angle_gamma 90.00
loop_
_space_group_symop_operation_xyz
'x,y,z'
loop_
_atom_site_label
_atom_site_type_symbol
_atom_site_fract_x
_atom_site_fract_y
_atom_site_fract_z
Pa1 Pa 0.034 0.110 0.114
Pa2 Pa 0.034 0.390 0.114
Pa3 Pa 0.178 0.250 0.630
Pa4 Pa 0.322 0.750 0.130
Pa5 Pa 0.466 0.610 0.614
Pa6 Pa 0.466 0.890 0.614
Pa7 Pa 0.534 0.110 0.386
Pa8 Pa 0.534 0.390 0.386
Pa9 Pa 0.678 0.250 0.870
Pa10 Pa 0.822 0.750 0.370
Pa11 Pa 0.966 0.610 0.886
Pa12 Pa 0.966 0.890 0.886
Ni1 Ni 0.110 0.608 0.387
Ni2 Ni 0.110 0.892 0.387
Ni3 Ni 0.390 0.108 0.887
Ni4 Ni 0.390 0.392 0.887
Ni5 Ni 0.610 0.608 0.113
Ni6 Ni 0.610 0.892 0.113
Ni7 Ni 0.890 0.108 0.613
Ni8 Ni 0.890 0.392 0.613
Ge1 Ge 0.177 0.750 0.627
Ge2 Ge 0.183 0.041 0.606
Ge3 Ge 0.183 0.459 0.606
Ge4 Ge 0.317 0.541 0.106
Ge5 Ge 0.317 0.959 0.106
Ge6 Ge 0.323 0.250 0.127
Ge7 Ge 0.677 0.750 0.873
Ge8 Ge 0.683 0.041 0.894
Ge9 Ge 0.683 0.459 0.894
Ge10 Ge 0.817 0.541 0.394
Ge11 Ge 0.817 0.959 0.394
Ge12 Ge 0.823 0.250 0.373

***

No. 6
# CaCr2Mo, relaxed, DFT PBE-GGA
# calculated formation energy = 907.3 meV/atom
# volume = 17.420 Å³ per atom
# space-group type = Pmmm (47)
# electronic total energy = -7.113 eV per atom
data_CaCr2Mo
_chemical_formula_sum 'Ca1 Cr2 Mo1'
_space_group_name_H-M_alt 'P 1'
_space_group_IT_number 1
_cell_length_a 3.265
_cell_length_b 4.430
_cell_length_c 4.817
_cell_angle_alpha 90.00
_cell_angle_beta 90.00
_cell_angle_gamma 90.00
loop_
_space_group_symop_operation_xyz
'x,y,z'
loop_
_atom_site_label
_atom_site_type_symbol
_atom_site_fract_x
_atom_site_fract_y
_atom_site_fract_z
Ca1 Ca 0.000 0.000 0.000
Cr1 Cr 0.000 0.500 0.500
Cr2 Cr 0.500 0.500 0.000
Mo1 Mo 0.500 0.000 0.500

***

No. 7
# Ac2PaSb, relaxed, DFT PBE-GGA
# volume = 34.736 Å³ per atom
# formation energy from raw total energies = -87 meV per atom
# space-group type = P4/mmm (123)
# electronic total energy = -5.546 eV per atom
data_Ac2PaSb
_chemical_formula_sum 'Ac2 Pa1 Sb1'
_space_group_name_H-M_alt 'P 1'
_space_group_IT_number 1
_cell_length_a 4.064
_cell_length_b 4.064
_cell_length_c 8.413
_cell_angle_alpha 90.00
_cell_angle_beta 90.00
_cell_angle_gamma 90.00
loop_
_space_group_symop_operation_xyz
'x,y,z'
loop_
_atom_site_label
_atom_site_type_symbol
_atom_site_fract_x
_atom_site_fract_y
_atom_site_fract_z
Ac1 Ac 0.000 0.000 0.226
Ac2 Ac 0.000 0.000 0.774
Pa1 Pa 0.500 0.500 0.500
Sb1 Sb 0.500 0.500 0.000

***

No. 8
# Y2NbAsIr, relaxed, DFT PBE-GGA
# calculated formation energy = 580.3 meV/atom
# volume = 27.601 Å³ per atom
# space-group type = P4/mmm (123)
# electronic total energy = -6.721 eV per atom
data_Y2NbAsIr
_chemical_formula_sum 'Y2 Nb1 As1 Ir1'
_space_group_name_H-M_alt 'P 1'
_space_group_IT_number 1
_cell_length_a 5.449
_cell_length_b 5.449
_cell_length_c 4.649
_cell_angle_alpha 90.00
_cell_angle_beta 90.00
_cell_angle_gamma 90.00
loop_
_space_group_symop_operation_xyz
'x,y,z'
loop_
_atom_site_label
_atom_site_type_symbol
_atom_site_fract_x
_atom_site_fract_y
_atom_site_fract_z
Y1 Y 0.000 0.500 0.000
Y2 Y 0.500 0.000 0.000
Nb1 Nb 0.000 0.000 0.000
As1 As 0.500 0.500 0.500
Ir1 Ir 0.000 0.000 0.500